Below is a relaxed MgI2O6 crystal, with properties calculated at the PBE level.

a = 6.6955 Å, b = 10.8324 Å, c = 8.8743 Å
α = 90.00°, β = 115.81°, γ = 90.00°
Closest atoms and distances in Å follow each position.
Positions (direct):
Mg 0.1034 0.0884 0.4004  5 O 2.02-2.11
Mg 0.1034 0.4116 0.9004  5 O 2.02-2.11
Mg 0.8966 0.5884 0.0996  5 O 2.02-2.11
Mg 0.8966 0.9116 0.5996  5 O 2.02-2.11
I 0.2332 0.0848 0.9828  3 O 1.84-1.85
I 0.2332 0.4152 0.4828  3 O 1.84-1.85
I 0.3677 0.7023 0.0878  3 O 1.81-1.88
I 0.3677 0.7977 0.5878  3 O 1.81-1.88
I 0.6323 0.2023 0.4122  3 O 1.81-1.88
I 0.6323 0.2977 0.9122  3 O 1.81-1.88
I 0.7668 0.5848 0.5172  3 O 1.84-1.85
I 0.7668 0.9152 0.0172  3 O 1.84-1.85
O 0.0303 0.5290 0.3433  1 I 1.85, 1 Mg 2.05
O 0.0303 0.9710 0.8433  1 I 1.85, 1 Mg 2.05
O 0.0592 0.2242 0.9195  1 I 1.84
O 0.0592 0.2758 0.4195  1 I 1.84
O 0.1659 0.5712 0.0379  1 I 1.88, 1 Mg 2.05
O 0.1659 0.9288 0.5379  1 I 1.88, 1 Mg 2.05
O 0.3952 0.1095 0.3877  1 I 1.81, 1 Mg 2.02
O 0.3952 0.3905 0.8877  1 I 1.81, 1 Mg 2.02
O 0.3968 0.1057 0.8637  1 I 1.84
O 0.3968 0.3943 0.3637  1 I 1.84
O 0.4327 0.7188 0.3087  1 I 1.82
O 0.4327 0.7812 0.8087  1 I 1.82
O 0.5673 0.2188 0.1913  1 I 1.82
O 0.5673 0.2812 0.6913  1 I 1.82
O 0.6032 0.6057 0.6363  1 I 1.84
O 0.6032 0.8943 0.1363  1 I 1.84
O 0.6048 0.6095 0.1123  1 I 1.81, 1 Mg 2.02
O 0.6048 0.8905 0.6123  1 I 1.81, 1 Mg 2.02
O 0.8341 0.0712 0.4621  1 I 1.88, 1 Mg 2.05
O 0.8341 0.4288 0.9621  1 I 1.88, 1 Mg 2.05
O 0.9408 0.7242 0.5805  1 I 1.84
O 0.9408 0.7758 0.0805  1 I 1.84
O 0.9697 0.0290 0.1567  1 I 1.85, 1 Mg 2.05
O 0.9697 0.4710 0.6567  1 I 1.85, 1 Mg 2.05

Its space group is P2_1/c, No. 14. As for the total magnetization: 0.00 Bohr magnetons per cell. The density of states at the Fermi level comes out at 0.000 states/eV per cell. The uncorrected formation energy comes out at -0.889 eV/atom.